No. 1
14
Lattice="5.335 0.000 -0.074 0.000 5.617 0.000 -2.187 0.000 6.928" Properties=species:S:1:pos:R:3 comment="KScSiO4 PBE relaxed" raw_formation_energy_mev_per_atom=-2829 total_magnetization_mub_per_atom=0.0000 pbc="T T T"
K 1.638 4.213 6.434
K 1.511 1.404 0.420
Sc 3.245 4.213 3.178
Sc -0.096 1.404 3.676
Si 0.619 4.213 2.387
Si 2.529 1.404 4.467
O 3.617 2.662 4.588
O -0.468 5.471 2.266
O -0.468 2.955 2.266
O 3.617 0.147 4.588
O 1.927 4.213 1.411
O 1.222 1.404 5.443
O 1.285 4.213 3.883
O 1.863 1.404 2.971

=====

No. 2
5
Lattice="3.675 0.000 0.000 0.000 3.675 0.000 0.000 0.000 3.884" Properties=species:S:1:pos:R:3 comment="Mn2SiHRh PBE relaxed" e_tot_ha_per_atom=-0.263 total_magnetization_mub_per_atom=0.9117 pbc="T T T"
H 0.000 0.000 0.000
Si 1.838 1.838 1.942
Mn 0.000 1.838 0.000
Mn 1.838 0.000 0.000
Rh 0.000 0.000 1.942

=====

Repeat the first record exactly.
14
Lattice="5.335 0.000 -0.074 0.000 5.617 0.000 -2.187 0.000 6.928" Properties=species:S:1:pos:R:3 comment="KScSiO4 PBE relaxed" raw_formation_energy_mev_per_atom=-2829 total_magnetization_mub_per_atom=0.0000 pbc="T T T"
K 1.638 4.213 6.434
K 1.511 1.404 0.420
Sc 3.245 4.213 3.178
Sc -0.096 1.404 3.676
Si 0.619 4.213 2.387
Si 2.529 1.404 4.467
O 3.617 2.662 4.588
O -0.468 5.471 2.266
O -0.468 2.955 2.266
O 3.617 0.147 4.588
O 1.927 4.213 1.411
O 1.222 1.404 5.443
O 1.285 4.213 3.883
O 1.863 1.404 2.971